The following is a PBE calculation of NaHoSn2 after structural relaxation, from the Alexandria database.

Unit cell a=3.406 b=3.406 c=9.295 alpha=90.00 beta=90.00 gamma=90.00
Positions (direct):
Na 0.500 0.500 0.000
Ho 0.500 0.500 0.500
Sn 0.000 0.000 0.740
Sn 0.000 0.000 0.260

- ΔH_f (0 K) (eV/atom) = -0.40

The following is a PBE calculation of NaHo2Sn3Te6 after structural relaxation, from the Alexandria database.

Unit cell a=4.408 b=9.173 c=10.089 alpha=104.17 beta=102.62 gamma=90.00
Positions (direct):
Na 0.500 0.000 0.000
Ho 0.832 0.655 0.664
Ho 0.168 0.345 0.336
Sn 0.500 0.500 0.000
Sn 0.843 0.152 0.685
Sn 0.157 0.848 0.315
Te 0.325 0.892 0.650
Te 0.669 0.585 0.338
Te 0.675 0.108 0.350
Te 0.008 0.256 0.016
Te 0.992 0.744 0.984
Te 0.331 0.415 0.662

- raw formation energy (eV per atom) = -0.72

In the order shown, the computed VASP energy values come out to -3.871; -4.163 eV per atom.
In the order shown, the computed total moment values come out to 0.00; 0.00 μB/cell.